No. 1
A plane-wave DFT calculation with GGA+U was carried out for crystalline K2BaCrF8 at its relaxed geometry.

Computed properties:
- Crystal system: monoclinic
- DFT total energy: -5.1244 eV/atom

a = 4.575 Å, b = 7.839 Å, c = 6.014 Å
α = 90.00°, β = 95.71°, γ = 90.00°
Atoms (fractional coordinates):
K 0.000 0.235 0.000
K 0.000 0.765 0.000
Ba 0.500 0.500 0.500
Cr 0.500 0.000 0.500
F 0.010 0.500 0.743
F 0.151 0.000 0.324
F 0.391 0.177 0.690
F 0.391 0.823 0.690
F 0.609 0.177 0.310
F 0.609 0.823 0.310
F 0.849 0.000 0.676
F 0.990 0.500 0.257

---

No. 2
A plane-wave DFT calculation with GGA+U was carried out for crystalline K2BaCr3F12 at its relaxed geometry.

Computed properties:
- Crystal system: trigonal
- DFT total energy: -5.6761 eV/atom

a = 7.360 Å, b = 7.360 Å, c = 7.360 Å
α = 63.00°, β = 63.00°, γ = 63.00°
Atoms (fractional coordinates):
K 0.125 0.125 0.125
K 0.875 0.875 0.875
Ba 0.500 0.500 0.500
Cr 0.000 0.500 0.500
Cr 0.500 0.000 0.500
Cr 0.500 0.500 0.000
F 0.066 0.631 0.631
F 0.229 0.229 0.601
F 0.229 0.601 0.229
F 0.369 0.369 0.934
F 0.369 0.934 0.369
F 0.399 0.771 0.771
F 0.601 0.229 0.229
F 0.631 0.066 0.631
F 0.631 0.631 0.066
F 0.771 0.399 0.771
F 0.771 0.771 0.399
F 0.934 0.369 0.369

---

No. 3
A plane-wave DFT calculation with GGA+U was carried out for crystalline KBaCrF6 at its relaxed geometry.

Computed properties:
- Crystal system: trigonal
- DFT total energy: -5.5717 eV/atom

a = 6.431 Å, b = 6.431 Å, c = 8.723 Å
α = 90.00°, β = 90.00°, γ = 120.00°
Atoms (fractional coordinates):
K 0.000 0.000 0.000
K 0.000 0.000 0.500
Ba 0.333 0.667 0.250
Ba 0.667 0.333 0.750
Cr 0.333 0.667 0.750
Cr 0.667 0.333 0.250
F 0.079 0.410 0.628
F 0.079 0.669 0.872
F 0.331 0.410 0.872
F 0.331 0.921 0.628
F 0.410 0.079 0.128
F 0.410 0.331 0.372
F 0.590 0.669 0.628
F 0.590 0.921 0.872
F 0.669 0.079 0.372
F 0.669 0.590 0.128
F 0.921 0.331 0.128
F 0.921 0.590 0.372

---

No. 4
A plane-wave DFT calculation with GGA+U was carried out for crystalline BaLiCr2F8 at its relaxed geometry.

Computed properties:
- Crystal system: trigonal
- DFT total energy: -5.5417 eV/atom

a = 6.105 Å, b = 6.105 Å, c = 6.885 Å
α = 90.00°, β = 90.00°, γ = 120.00°
Atoms (fractional coordinates):
Ba 0.000 0.000 0.000
Li 0.000 0.000 0.500
Cr 0.333 0.667 0.266
Cr 0.667 0.333 0.734
F 0.151 0.302 0.313
F 0.151 0.849 0.313
F 0.302 0.151 0.687
F 0.333 0.667 0.993
F 0.667 0.333 0.007
F 0.698 0.849 0.313
F 0.849 0.151 0.687
F 0.849 0.698 0.687